Model w:
# PBE-GGA CsS2NCl, optimized geometry
data_CsS2NCl
_chemical_formula_sum 'Cs1 S2 N1 Cl1'
_symmetry_space_group_name_H-M 'P 1'
_symmetry_Int_Tables_number 1
_cell_length_a 7.3737
_cell_length_b 7.3737
_cell_length_c 6.1847
_cell_angle_alpha 90.00
_cell_angle_beta 90.00
_cell_angle_gamma 90.00
loop_
_symmetry_equiv_pos_as_xyz
'x,y,z'
loop_
_atom_site_label
_atom_site_fract_x
_atom_site_fract_y
_atom_site_fract_z
_atom_site_occupancy
Cs1 0.0000 0.0000 0.0000 1
S1 0.0000 0.5000 0.0000 1
S2 0.5000 0.0000 0.0000 1
N1 0.5000 0.5000 0.5000 1
Cl1 0.0000 0.0000 0.5000 1
# Size of the total moment = 6.9 μB/f.u.
# SG = P4/mmm, No. 123

Model x:
# PBE-GGA CsS2NCl, optimized geometry
data_CsS2NCl
_chemical_formula_sum 'Cs1 S2 N1 Cl1'
_symmetry_space_group_name_H-M 'P 1'
_symmetry_Int_Tables_number 1
_cell_length_a 4.2017
_cell_length_b 4.2017
_cell_length_c 8.0020
_cell_angle_alpha 90.00
_cell_angle_beta 90.00
_cell_angle_gamma 90.00
loop_
_symmetry_equiv_pos_as_xyz
'x,y,z'
loop_
_atom_site_label
_atom_site_fract_x
_atom_site_fract_y
_atom_site_fract_z
_atom_site_occupancy
Cs1 0.0000 0.0000 0.0000 1
S1 0.0000 0.5000 0.5000 1
S2 0.5000 0.0000 0.5000 1
N1 0.5000 0.5000 0.5000 1
Cl1 0.5000 0.5000 0.0000 1
# Size of the total moment = 0.0 μB/f.u.
# SG = P4/mmm, No. 123

The structure with the greatest stability is model x.

Model w:
# PBE-GGA CsTeN2Cl, optimized geometry
data_CsTeN2Cl
_chemical_formula_sum 'Cs1 Te1 N2 Cl1'
_symmetry_space_group_name_H-M 'P 1'
_symmetry_Int_Tables_number 1
_cell_length_a 4.7518
_cell_length_b 4.7518
_cell_length_c 5.1308
_cell_angle_alpha 90.00
_cell_angle_beta 90.00
_cell_angle_gamma 90.00
loop_
_symmetry_equiv_pos_as_xyz
'x,y,z'
loop_
_atom_site_label
_atom_site_fract_x
_atom_site_fract_y
_atom_site_fract_z
_atom_site_occupancy
Cs1 0.0000 0.0000 0.0000 1
Te1 0.5000 0.5000 0.0000 1
N1 0.0000 0.5000 0.5000 1
N2 0.5000 0.0000 0.5000 1
Cl1 0.5000 0.5000 0.5000 1
# Size of the total moment = 4.1 μB/f.u.
# SG = P4/mmm, No. 123

Model x:
# PBE-GGA CsTeN2Cl, optimized geometry
data_CsTeN2Cl
_chemical_formula_sum 'Cs1 Te1 N2 Cl1'
_symmetry_space_group_name_H-M 'P 1'
_symmetry_Int_Tables_number 1
_cell_length_a 4.4820
_cell_length_b 4.4820
_cell_length_c 8.0392
_cell_angle_alpha 90.00
_cell_angle_beta 90.00
_cell_angle_gamma 90.00
loop_
_symmetry_equiv_pos_as_xyz
'x,y,z'
loop_
_atom_site_label
_atom_site_fract_x
_atom_site_fract_y
_atom_site_fract_z
_atom_site_occupancy
Cs1 0.0000 0.0000 0.0000 1
Te1 0.0000 0.0000 0.5000 1
N1 0.0000 0.5000 0.0000 1
N2 0.5000 0.0000 0.0000 1
Cl1 0.5000 0.5000 0.5000 1
# Size of the total moment = 2.4 μB/f.u.
# SG = P4/mmm, No. 123

The structure with the greatest stability is model w.

Model w:
# PBE-GGA CsNa3Cl, optimized geometry
data_CsNa3Cl
_chemical_formula_sum 'Cs1 Na3 Cl1'
_symmetry_space_group_name_H-M 'P 1'
_symmetry_Int_Tables_number 1
_cell_length_a 7.4026
_cell_length_b 7.4026
_cell_length_c 7.4026
_cell_angle_alpha 90.00
_cell_angle_beta 90.00
_cell_angle_gamma 90.00
loop_
_symmetry_equiv_pos_as_xyz
'x,y,z'
loop_
_atom_site_label
_atom_site_fract_x
_atom_site_fract_y
_atom_site_fract_z
_atom_site_occupancy
Cs1 0.0000 0.0000 0.0000 1
Na1 0.0000 0.0000 0.5000 1
Na2 0.0000 0.5000 0.0000 1
Na3 0.5000 0.0000 0.0000 1
Cl1 0.5000 0.5000 0.5000 1
# Size of the total moment = 1.0 μB/f.u.
# SG = Pm-3m, No. 221

Model x:
# PBE-GGA CsNa3Cl, optimized geometry
data_CsNa3Cl
_chemical_formula_sum 'Cs1 Na3 Cl1'
_symmetry_space_group_name_H-M 'P 1'
_symmetry_Int_Tables_number 1
_cell_length_a 6.0903
_cell_length_b 6.0903
_cell_length_c 6.0903
_cell_angle_alpha 90.00
_cell_angle_beta 90.00
_cell_angle_gamma 90.00
loop_
_symmetry_equiv_pos_as_xyz
'x,y,z'
loop_
_atom_site_label
_atom_site_fract_x
_atom_site_fract_y
_atom_site_fract_z
_atom_site_occupancy
Cs1 0.0000 0.0000 0.0000 1
Na1 0.0000 0.5000 0.5000 1
Na2 0.5000 0.0000 0.5000 1
Na3 0.5000 0.5000 0.0000 1
Cl1 0.5000 0.5000 0.5000 1
# Size of the total moment = 0.0 μB/f.u.
# SG = Pm-3m, No. 221

The structure with the greatest stability is model x.

Model w:
# PBE-GGA Cs2NaCl, optimized geometry
data_Cs2NaCl
_chemical_formula_sum 'Cs2 Na1 Cl1'
_symmetry_space_group_name_H-M 'P 1'
_symmetry_Int_Tables_number 1
_cell_length_a 6.6951
_cell_length_b 6.6951
_cell_length_c 6.6951
_cell_angle_alpha 60.00
_cell_angle_beta 60.00
_cell_angle_gamma 60.00
loop_
_symmetry_equiv_pos_as_xyz
'x,y,z'
loop_
_atom_site_label
_atom_site_fract_x
_atom_site_fract_y
_atom_site_fract_z
_atom_site_occupancy
Cs1 0.2500 0.2500 0.2500 1
Cs2 0.7500 0.7500 0.7500 1
Na1 0.0000 0.0000 0.0000 1
Cl1 0.5000 0.5000 0.5000 1
# Size of the total moment = 0.0 μB/f.u.
# SG = Fm-3m, No. 225

Model x:
# PBE-GGA Cs2NaCl, optimized geometry
data_Cs2NaCl
_chemical_formula_sum 'Cs2 Na1 Cl1'
_symmetry_space_group_name_H-M 'P 1'
_symmetry_Int_Tables_number 1
_cell_length_a 4.4097
_cell_length_b 4.4097
_cell_length_c 10.5322
_cell_angle_alpha 90.00
_cell_angle_beta 90.00
_cell_angle_gamma 90.00
loop_
_symmetry_equiv_pos_as_xyz
'x,y,z'
loop_
_atom_site_label
_atom_site_fract_x
_atom_site_fract_y
_atom_site_fract_z
_atom_site_occupancy
Cs1 0.0000 0.0000 0.1929 1
Cs2 0.0000 0.0000 0.8071 1
Na1 0.5000 0.5000 0.5000 1
Cl1 0.5000 0.5000 0.0000 1
# Size of the total moment = 0.0 μB/f.u.
# SG = P4/mmm, No. 123

Model y:
# PBE-GGA Cs2NaCl, optimized geometry
data_Cs2NaCl
_chemical_formula_sum 'Cs2 Na1 Cl1'
_symmetry_space_group_name_H-M 'P 1'
_symmetry_Int_Tables_number 1
_cell_length_a 11.2511
_cell_length_b 11.2511
_cell_length_c 11.2511
_cell_angle_alpha 25.79
_cell_angle_beta 25.79
_cell_angle_gamma 25.79
loop_
_symmetry_equiv_pos_as_xyz
'x,y,z'
loop_
_atom_site_label
_atom_site_fract_x
_atom_site_fract_y
_atom_site_fract_z
_atom_site_occupancy
Cs1 0.0000 0.0000 0.0000 1
Cs2 0.2074 0.2074 0.2074 1
Na1 0.4370 0.4370 0.4370 1
Cl1 0.6036 0.6036 0.6036 1
# Size of the total moment = 0.0 μB/f.u.
# SG = R3m, No. 160

The structure with the greatest stability is model y.